Below is PBr after structural relaxation, with properties calculated at the PBE level. Values from VASP.

Structure (Quantum ESPRESSO input):
```
&SYSTEM
  ibrav = 0, nat = 16, ntyp = 2
/
ATOMIC_SPECIES
P 30.97 P.upf
Br 79.90 Br.upf
CELL_PARAMETERS angstrom
-0.8657 -13.2813 2.6314
12.9614 -1.5752 -3.6860
1.0062 0.5858 3.2878
ATOMIC_POSITIONS crystal
P 0.1973 0.7698 0.5000
P 0.3027 0.7302 0.0000
Br 0.7684 0.0676 0.5000
P 0.2302 0.1973 0.5000
Br 0.9324 0.7684 0.5000
P 0.7698 0.8027 0.5000
Br 0.5676 0.7316 0.0000
Br 0.4324 0.2684 0.0000
Br 0.2684 0.5676 0.0000
P 0.8027 0.2302 0.5000
Br 0.7316 0.4324 0.0000
P 0.7302 0.6973 0.0000
P 0.6973 0.2698 0.0000
Br 0.0676 0.2316 0.5000
Br 0.2316 0.9324 0.5000
P 0.2698 0.3027 0.0000
```

The calculation puts the magnetic moment at 0.00 μB/f.u. For the raw formation energy, the calculation gives -11.8 kJ/mol of atoms. For the energy relative to the lowest polymorph listed for this composition, the calculation gives 8.0 meV per atom.